[1]
Density functional theory data (meta-GGA SCAN) for a crystal of Zn2PdAu relaxed with PBEsol.

Crystal system: tetragonal
ΔH_f (0 K) (kcal/mol of atoms): -9.5
Mass density (g/cm³): 12.44
E_tot (eV per atom): -32.65

a = 3.0773 Å, b = 3.0773 Å, c = 6.1188 Å
α = 90.00°, β = 90.00°, γ = 90.00°
With the nearest neighbours (Å) after each atom.
Space group P4/mmm (No. 123)
Unique sites:
Zn: 0.0000 0.0000 0.2377 [2 per cell]  4 Pd 2.62, 4 Au 2.70, 1 Zn 2.91
Pd: 0.5000 0.5000 0.0000 [1 per cell]  8 Zn 2.62
Au: 0.5000 0.5000 0.5000 [1 per cell]  8 Zn 2.70

---

[2]
Density functional theory data (meta-GGA SCAN) for a crystal of Zn3PdAu relaxed with PBEsol.

Crystal system: cubic
ΔH_f (0 K) (kcal/mol of atoms): 6.4
Mass density (g/cm³): 8.23
E_tot (eV per atom): -28.22

a = 4.6539 Å, b = 4.6539 Å, c = 4.6539 Å
α = 90.00°, β = 90.00°, γ = 90.00°
With the nearest neighbours (Å) after each atom.
Space group Pm-3m (No. 221)
Unique sites:
Zn: 0.0000 0.0000 0.5000 [3 per cell]  2 Pd 2.33
Pd: 0.0000 0.0000 0.0000 [1 per cell]  6 Zn 2.33
Au: 0.5000 0.5000 0.5000 [1 per cell]  12 Zn 3.29

---

[3]
Density functional theory data (meta-GGA SCAN) for a crystal of ZrPdAu2 relaxed with PBEsol.

Crystal system: cubic
ΔH_f (0 K) (kcal/mol of atoms): -15.2
Mass density (g/cm³): 14.25
E_tot (eV per atom): -51.11

a = 6.5085 Å, b = 6.5085 Å, c = 6.5085 Å
α = 90.00°, β = 90.00°, γ = 90.00°
With the nearest neighbours (Å) after each atom.
Space group Fm-3m (No. 225)
Unique sites:
Zr: 0.0000 0.0000 0.0000 [4 per cell]  8 Au 2.82
Pd: 0.0000 0.0000 0.5000 [4 per cell]  8 Au 2.82
Au: 0.2500 0.2500 0.2500 [8 per cell]  4 Zr 2.82, 4 Pd 2.82

---

[4]
Density functional theory data (meta-GGA SCAN) for a crystal of PmAu3 relaxed with PBEsol.

Crystal system: cubic
ΔH_f (0 K) (kcal/mol of atoms): -18.0
Mass density (g/cm³): 15.09
Excess energy over the best structure of this formula in the dataset (eV per atom): 0.036
E_tot (eV per atom): -63.64

a = 6.8674 Å, b = 6.8674 Å, c = 6.8674 Å
α = 90.00°, β = 90.00°, γ = 90.00°
With the nearest neighbours (Å) after each atom.
Space group Fm-3m (No. 225)
Unique sites:
Pm: 0.0000 0.0000 0.0000 [4 per cell]  8 Au 2.97
Au: 0.0000 0.0000 0.5000 [4 per cell]  8 Au 2.97
Au: 0.2500 0.2500 0.2500 [8 per cell]  4 Pm 2.97, 4 Au 2.97

---

[5]
Density functional theory data (meta-GGA SCAN) for a crystal of PmAu3 relaxed with PBEsol.

Crystal system: hexagonal
ΔH_f (0 K) (kcal/mol of atoms): -18.8
Mass density (g/cm³): 15.07
Excess energy over the best structure of this formula in the dataset (eV per atom): 0.000
E_tot (eV per atom): -63.68

a = 6.2591 Å, b = 6.2591 Å, c = 4.7789 Å
α = 90.00°, β = 90.00°, γ = 120.00°
With the nearest neighbours (Å) after each atom.
Space group P6_3/mmc (No. 194)
Unique sites:
Pm: 0.3333 0.6667 0.2500 [2 per cell]  12 Au 3.06-3.13
Au: 0.1563 0.3125 0.7500 [6 per cell]  6 Au 2.93, 4 Pm 3.06-3.13

---

[6]
Density functional theory data (meta-GGA SCAN) for a crystal of Pm2PtAu relaxed with PBEsol.

Crystal system: cubic
ΔH_f (0 K) (kcal/mol of atoms): -26.4
Mass density (g/cm³): 12.41
E_tot (eV per atom): -57.97

a = 7.1473 Å, b = 7.1473 Å, c = 7.1473 Å
α = 90.00°, β = 90.00°, γ = 90.00°
With the nearest neighbours (Å) after each atom.
Space group Fm-3m (No. 225)
Unique sites:
Pm: 0.2500 0.2500 0.2500 [8 per cell]  4 Pt 3.09, 4 Au 3.09
Pt: 0.0000 0.0000 0.0000 [4 per cell]  8 Pm 3.09
Au: 0.0000 0.0000 0.5000 [4 per cell]  8 Pm 3.09

---

[7]
Density functional theory data (meta-GGA SCAN) for a crystal of Pm2RuAu relaxed with PBEsol.

Crystal system: cubic
ΔH_f (0 K) (kcal/mol of atoms): -13.7
Mass density (g/cm³): 11.12
E_tot (eV per atom): -48.58

a = 7.0558 Å, b = 7.0558 Å, c = 7.0558 Å
α = 90.00°, β = 90.00°, γ = 90.00°
With the nearest neighbours (Å) after each atom.
Space group Fm-3m (No. 225)
Unique sites:
Pm: 0.2500 0.2500 0.2500 [8 per cell]  4 Ru 3.06, 4 Au 3.06
Ru: 0.0000 0.0000 0.0000 [4 per cell]  8 Pm 3.06
Au: 0.0000 0.0000 0.5000 [4 per cell]  8 Pm 3.06

---

[8]
Density functional theory data (meta-GGA SCAN) for a crystal of PmTlAu2 relaxed with PBEsol.

Crystal system: cubic
ΔH_f (0 K) (kcal/mol of atoms): -16.3
Mass density (g/cm³): 14.13
E_tot (eV per atom): -64.37

a = 7.0433 Å, b = 7.0433 Å, c = 7.0433 Å
α = 90.00°, β = 90.00°, γ = 90.00°
With the nearest neighbours (Å) after each atom.
Space group Fm-3m (No. 225)
Unique sites:
Pm: 0.0000 0.0000 0.0000 [4 per cell]  8 Au 3.05
Tl: 0.0000 0.0000 0.5000 [4 per cell]  8 Au 3.05
Au: 0.2500 0.2500 0.2500 [8 per cell]  4 Tl 3.05, 4 Pm 3.05

---

[9]
Density functional theory data (meta-GGA SCAN) for a crystal of PmZn2Au relaxed with PBEsol.

Crystal system: cubic
ΔH_f (0 K) (kcal/mol of atoms): -12.5
Mass density (g/cm³): 10.82
E_tot (eV per atom): -35.59

a = 6.6204 Å, b = 6.6204 Å, c = 6.6204 Å
α = 90.00°, β = 90.00°, γ = 90.00°
With the nearest neighbours (Å) after each atom.
Space group Fm-3m (No. 225)
Unique sites:
Pm: 0.0000 0.0000 0.0000 [4 per cell]  8 Zn 2.87
Zn: 0.2500 0.2500 0.2500 [8 per cell]  4 Pm 2.87, 4 Au 2.87
Au: 0.0000 0.0000 0.5000 [4 per cell]  8 Zn 2.87

---

[10]
Density functional theory data (meta-GGA SCAN) for a crystal of PmZnAu2 relaxed with PBEsol.

Crystal system: cubic
ΔH_f (0 K) (kcal/mol of atoms): -16.3
Mass density (g/cm³): 12.64
E_tot (eV per atom): -49.66

a = 6.8220 Å, b = 6.8220 Å, c = 6.8220 Å
α = 90.00°, β = 90.00°, γ = 90.00°
With the nearest neighbours (Å) after each atom.
Space group Fm-3m (No. 225)
Unique sites:
Pm: 0.0000 0.0000 0.0000 [4 per cell]  8 Au 2.95
Zn: 0.0000 0.0000 0.5000 [4 per cell]  8 Au 2.95
Au: 0.2500 0.2500 0.2500 [8 per cell]  4 Pm 2.95, 4 Zn 2.95